Run A
Here is a relaxed structure of Tm2CdFe from the Alexandria database. Energies are from PBE.

```
Tm2CdFe
1.0
1.738 1.004 9.936
-1.738 1.004 9.936
0.000 -2.007 9.936
Tm Cd Fe
2 1 1
direct
0.108 0.108 0.108
0.892 0.892 0.892
0.000 0.000 0.000
0.500 0.500 0.500
```

Results
density	8.1	g/cm³
total magnetic moment	0.8	μB per formula unit

***

Run B
Here is a relaxed structure of Tm2CdFe from the Alexandria database. Energies are from PBE.

```
Tm2CdFe
1.0
3.333 0.000 0.000
0.000 3.333 0.000
0.000 0.000 7.705
Tm Cd Fe
2 1 1
direct
0.000 0.000 0.206
0.000 0.000 0.794
0.500 0.500 0.500
0.500 0.500 0.000
```

Results
density	9.8	g/cm³
total magnetic moment	0.0	μB per formula unit

***

The structure with the greatest stability is run B.

***

Run A
Here is a relaxed structure of Cd2FeW from the Alexandria database. Energies are from PBE.

```
Cd2FeW
1.0
5.426 -1.473 0.000
5.426 1.473 0.000
-2.007 0.000 4.223
Cd Fe W
2 1 1
direct
0.233 0.233 0.233
0.767 0.767 0.767
0.500 0.500 0.000
0.000 0.000 0.500
```

Results
density	11.4	g/cm³
total magnetic moment	1.9	μB per formula unit

***

Run B
Here is a relaxed structure of Cd2FeW from the Alexandria database. Energies are from PBE.

```
Cd2FeW
1.0
1.603 -2.282 0.000
1.603 2.282 0.000
0.000 0.000 9.472
Cd Fe W
2 1 1
direct
0.000 0.000 0.000
0.500 0.500 0.293
0.500 0.500 0.760
0.000 0.000 0.558
```

Results
density	11.1	g/cm³
total magnetic moment	2.0	μB per formula unit

***

The structure with the greatest stability is run B.

***

Run A
Here is a relaxed structure of Cd3FeW from the Alexandria database. Energies are from PBE.

```
Cd3FeW
1.0
4.849 0.000 0.000
0.000 4.849 0.000
0.000 0.000 4.849
Cd Fe W
3 1 1
direct
0.000 0.000 0.500
0.000 0.500 0.000
0.500 0.000 0.000
0.000 0.000 0.000
0.500 0.500 0.500
```

Results
density	8.4	g/cm³
total magnetic moment	5.2	μB per formula unit

***

Run B
Here is a relaxed structure of Cd3FeW from the Alexandria database. Energies are from PBE.

```
Cd3FeW
1.0
5.256 0.000 0.000
0.000 5.256 0.000
0.000 0.000 5.256
Cd Fe W
3 1 1
direct
0.000 0.000 0.500
0.000 0.500 0.000
0.500 0.000 0.000
0.500 0.500 0.500
0.000 0.000 0.000
```

Results
density	6.6	g/cm³
total magnetic moment	4.0	μB per formula unit

***

The structure with the greatest stability is run A.

***

Run A
Here is a relaxed structure of Y4CdFe from the Alexandria database. Energies are from PBE.

```
Y4CdFe
1.0
0.000 4.392 4.392
4.392 0.000 4.392
4.392 4.392 0.000
Y Cd Fe
4 1 1
direct
0.125 0.125 0.125
0.125 0.125 0.624
0.125 0.624 0.125
0.624 0.125 0.125
0.750 0.750 0.750
0.500 0.500 0.500
```

Results
density	5.1	g/cm³
total magnetic moment	2.6	μB per formula unit

***

Run B
Here is a relaxed structure of Y4CdFe from the Alexandria database. Energies are from PBE.

```
Y4CdFe
1.0
4.365 -6.274 0.000
4.365 6.274 0.000
-1.717 0.000 5.872
Y Cd Fe
8 2 2
direct
0.060 0.733 0.957
0.200 0.365 0.605
0.267 0.940 0.543
0.365 0.200 0.105
0.635 0.800 0.895
0.733 0.060 0.457
0.800 0.635 0.395
0.940 0.267 0.043
0.373 0.627 0.250
0.627 0.373 0.750
0.002 0.998 0.750
0.998 0.002 0.250
```

Results
density	5.4	g/cm³
total magnetic moment	0.0	μB per formula unit

***

The structure with the greatest stability is run B.

***

Run A
Here is a relaxed structure of ZnCdFe from the Alexandria database. Energies are from PBE.

```
ZnCdFe
1.0
2.838 0.000 0.000
-1.419 2.458 0.000
0.000 0.000 6.883
Zn Cd Fe
1 1 1
direct
0.000 0.000 0.000
0.333 0.667 0.369
0.667 0.333 0.707
```

Results
density	8.1	g/cm³
total magnetic moment	2.5	μB per formula unit

***

Run B
Here is a relaxed structure of ZnCdFe from the Alexandria database. Energies are from PBE.

```
ZnCdFe
1.0
0.000 2.003 5.893
1.999 0.000 5.893
1.999 2.003 0.000
Zn Cd Fe
1 1 1
direct
0.000 0.000 0.000
0.688 0.688 0.312
0.360 0.360 0.640
```

Results
density	8.2	g/cm³
total magnetic moment	2.5	μB per formula unit

***

The structure with the greatest stability is run B.

***

Run A
Here is a relaxed structure of ZnCdFe3 from the Alexandria database. Energies are from PBE.

```
ZnCdFe3
1.0
4.440 0.000 0.000
0.000 4.440 0.000
0.000 0.000 4.440
Zn Cd Fe
1 1 3
direct
0.000 0.000 0.000
0.500 0.500 0.500
0.000 0.000 0.500
0.000 0.500 0.000
0.500 0.000 0.000
```

Results
density	6.6	g/cm³
total magnetic moment	7.9	μB per formula unit

***

Run B
Here is a relaxed structure of ZnCdFe3 from the Alexandria database. Energies are from PBE.

```
ZnCdFe3
1.0
4.762 0.000 0.000
0.000 4.762 0.000
0.000 0.000 4.762
Zn Cd Fe
1 1 3
direct
0.000 0.000 0.000
0.500 0.500 0.500
0.000 0.500 0.500
0.500 0.000 0.500
0.500 0.500 0.000
```

Results
density	5.3	g/cm³
total magnetic moment	8.6	μB per formula unit

***

The structure with the greatest stability is run A.